## Pu2CdBiO8 (PBE)

Data for a relaxed structure of Pu2CdBiO8.

DOS(E_F) in states/eV/cell: 6.7
Final energy in eV/atom: -7.729
Energy relative to the elements, uncorrected in eV per atom: -1.635

Lattice parameters (Å, degrees): 6.1925 6.1925 6.5482 90.00 90.00 120.00
Space group P-3 (No. 147)
Unique sites:
Pu: 0.3333 0.6667 0.4378 x2
Cd: 0.0000 0.0000 0.0000 x1
Bi: 0.0000 0.0000 0.5000 x1
O: 0.0562 0.3799 0.6286 x6
O: 0.3333 0.6667 0.1562 x2


## PuCd2BiO8 (PBE)

Data for a relaxed structure of PuCd2BiO8.

DOS(E_F) in states/eV/cell: 6.3
Final energy in eV/atom: -6.350
Energy relative to the elements, uncorrected in eV per atom: -1.374

Lattice parameters (Å, degrees): 6.9802 7.3423 6.8612 90.00 90.00 90.00
Space group Cmmm (No. 65)
Unique sites:
Pu: 0.0000 0.0000 0.0000 x2
Cd: 0.0000 0.5000 0.2511 x4
Bi: 0.0000 0.0000 0.5000 x2
O: 0.0000 0.1833 0.2342 x8
O: 0.2073 0.5000 0.5000 x4
O: 0.2237 0.5000 0.0000 x4


## PuCdBiO6 (PBE)

Data for a relaxed structure of PuCdBiO6.

Final energy in eV/atom: -7.108
Energy relative to the elements, uncorrected in eV per atom: -1.677

Lattice parameters (Å, degrees): 5.8301 5.8301 9.3164 90.00 90.00 120.00
Space group P-31c (No. 163)
Unique sites:
Pu: 0.3333 0.6667 0.2500 x2
Cd: 0.0000 0.0000 0.0000 x2
Bi: 0.3333 0.6667 0.7500 x2
O: 0.0424 0.3727 0.1320 x12


## Rb2Cd2BiO6 (PBE)

Data for a relaxed structure of Rb2Cd2BiO6.

DOS(E_F) in states/eV/cell: 11.7
Final energy in eV/atom: -4.458
Energy relative to the elements, uncorrected in eV per atom: -1.059

Lattice parameters (Å, degrees): 6.0510 10.0621 7.0515 90.00 109.58 90.00
Space group C2/m (No. 12)
Unique sites:
Rb: 0.0000 0.1750 0.0000 x4
Cd: 0.0000 0.3348 0.5000 x4
Bi: 0.0000 0.0000 0.5000 x2
O: 0.2103 0.1578 0.6794 x8
O: 0.2449 0.0000 0.3324 x4


## RbCdBiO3 (PBE)

Data for a relaxed structure of RbCdBiO3.

Final energy in eV/atom: -4.616
Energy relative to the elements, uncorrected in eV per atom: -1.176

Lattice parameters (Å, degrees): 8.3005 3.6125 9.1380 90.00 95.79 90.00
Space group P2_1/m (No. 11)
Unique sites:
Rb: 0.1850 0.2500 0.1860 x2
Cd: 0.4083 0.7500 0.8786 x2
Bi: 0.1600 0.2500 0.6024 x2
O: 0.0968 0.7500 0.4184 x2
O: 0.1596 0.7500 0.7618 x2
O: 0.4364 0.7500 0.1326 x2


## RbCdBiO2 (PBE)

Data for a relaxed structure of RbCdBiO2.

DOS(E_F) in states/eV/cell: 6.9
Final energy in eV/atom: -2.932
Energy relative to the elements, uncorrected in eV per atom: 0.204

Lattice parameters (Å, degrees): 4.6930 4.6930 5.4783 90.00 90.00 90.00
Space group P4/mmm (No. 123)
Unique sites:
Rb: 0.0000 0.0000 0.0000 x1
Cd: 0.5000 0.5000 0.5000 x1
Bi: 0.5000 0.5000 0.0000 x1
O: 0.0000 0.5000 0.5000 x2


Number 1: volume 217.46 Å³ per cell. Number 2: volume 351.64 Å³ per cell. Number 3: volume 274.24 Å³ per cell. Number 4: volume 404.51 Å³ per cell. Number 5: volume 272.61 Å³ per cell. Number 6: volume 120.65 Å³ per cell.